{
  "formula": "Tl6Hg12Sb",
  "functional": "PBE-GGA",
  "state": "optimized geometry",
  "cell": [[-8.1687, 1.0544, 0.3945], [-0.7232, -8.1911, 0.6141], [0.8076, 0.8443, 8.1627]],
  "species": ["Sb", "Hg", "Hg", "Hg", "Hg", "Hg", "Hg", "Hg", "Hg", "Hg", "Hg", "Hg", "Hg", "Tl", "Tl", "Tl", "Tl", "Tl", "Tl"],
  "fractional_positions": [[0.0000, 0.0000, 0.0000], [0.4946, 0.5566, 0.1951], [0.7327, 0.8670, 0.2496], [0.2673, 0.1330, 0.7504], [0.1951, 0.4946, 0.5566], [0.4434, 0.8049, 0.5054], [0.8049, 0.5054, 0.4434], [0.1330, 0.7504, 0.2673], [0.8670, 0.2496, 0.7327], [0.2496, 0.7327, 0.8670], [0.7504, 0.2673, 0.1330], [0.5566, 0.1951, 0.4946], [0.5054, 0.4434, 0.8049], [0.6073, 0.9304, 0.8450], [0.1550, 0.3927, 0.0696], [0.0696, 0.1550, 0.3927], [0.3927, 0.0696, 0.1550], [0.8450, 0.6073, 0.9304], [0.9304, 0.8450, 0.6073]],
  "spacegroup": "R-3 (148)",
  "dos_ef_per_ev_fu": 5.77,
  "polymorph_energy_ev_per_fu": 0.35
}